[1]
The following is a DFT calculation (PBE) of an optimized crystal structure of Dy3Si3Ru.

Structure (CIF):
```
data_Dy3Si3Ru
_cell_length_a 10.605
_cell_length_b 4.223
_cell_length_c 13.591
_cell_angle_alpha 90.00
_cell_angle_beta 110.98
_cell_angle_gamma 90.00
_space_group_name_H-M_alt 'C 1 2/m 1'
_space_group_IT_number 12
loop_
_space_group_symop_operation_xyz
'x,y,z'
'-x,-y,-z'
'-x,y,-z'
'x,-y,z'
'x+1/2,y+1/2,z'
'-x+1/2,-y+1/2,-z'
'-x+1/2,y+1/2,-z'
'x+1/2,-y+1/2,z'
loop_
_atom_site_label
_atom_site_type_symbol
_atom_site_fract_x
_atom_site_fract_y
_atom_site_fract_z
_atom_site_occupancy
Dy1 Dy 0.021 0.000 0.375 1
Dy2 Dy 0.102 0.000 0.921 1
Dy3 Dy 0.246 0.000 0.228 1
Si1 Si 0.052 0.500 0.237 1
Si2 Si 0.112 0.500 0.074 1
Si3 Si 0.137 0.500 0.543 1
Ru1 Ru 0.247 0.500 0.414 1
```

The total energy comes out at -6.4758 eV per atom. The formation energy from raw total energies is -5.980 eV per formula unit. As for the total moment: 0.00 μB per formula unit. The mass density comes out at 7.86 g cm⁻³. The value obtained for the calculated volume is 20.29 Å³ per atom.


[2]
The following is a DFT calculation (PBE) of an optimized crystal structure of HfHSCl.

Structure (CIF):
```
data_HfHSCl
_cell_length_a 6.333
_cell_length_b 3.657
_cell_length_c 7.581
_cell_angle_alpha 90.00
_cell_angle_beta 106.29
_cell_angle_gamma 90.00
_space_group_name_H-M_alt 'C 1 m 1'
_space_group_IT_number 8
loop_
_space_group_symop_operation_xyz
'x,y,z'
'x,-y,z'
'x+1/2,y+1/2,z'
'x+1/2,-y+1/2,z'
loop_
_atom_site_label
_atom_site_type_symbol
_atom_site_fract_x
_atom_site_fract_y
_atom_site_fract_z
_atom_site_occupancy
Hf1 Hf 0.000 0.000 0.000 1
H1 H 0.149 0.500 0.947 1
S1 S 0.398 0.000 0.191 1
Cl1 Cl 0.393 0.500 0.681 1
```

The total energy comes out at -6.0076 eV per atom. As for the total moment: 0.00 μB per formula unit. The mass density comes out at 4.87 g cm⁻³. The value obtained for the calculated volume is 21.07 Å³ per atom.


[3]
The following is a DFT calculation (PBE) of an optimized crystal structure of Li2PPb.

Structure (CIF):
```
data_Li2PPb
_cell_length_a 3.068
_cell_length_b 3.730
_cell_length_c 6.456
_cell_angle_alpha 90.00
_cell_angle_beta 90.00
_cell_angle_gamma 90.00
_space_group_name_H-M_alt 'P m m m'
_space_group_IT_number 47
loop_
_space_group_symop_operation_xyz
'x,y,z'
'-x,-y,-z'
'-x,-y,z'
'x,y,-z'
'x,-y,-z'
'-x,y,z'
'-x,y,-z'
'x,-y,z'
loop_
_atom_site_label
_atom_site_type_symbol
_atom_site_fract_x
_atom_site_fract_y
_atom_site_fract_z
_atom_site_occupancy
Li1 Li 0.000 0.000 0.187 1
P1 P 0.500 0.500 0.000 1
Pb1 Pb 0.500 0.500 0.500 1
```

The total energy comes out at -3.5111 eV per atom. As for the total moment: 0.00 μB per formula unit. Its energy above the most stable polymorph in this dataset is 49 meV per atom. As for the calculated formation energy: -274.7 meV per atom. The mass density comes out at 5.66 g cm⁻³. The value obtained for the calculated volume is 18.47 Å³ per atom.


[4]
The following is a DFT calculation (PBE) of an optimized crystal structure of YSc2Ag.

Structure (CIF):
```
data_YSc2Ag
_cell_length_a 3.2469
_cell_length_b 3.2469
_cell_length_c 33.0045
_cell_angle_alpha 90.00
_cell_angle_beta 90.00
_cell_angle_gamma 120.00
_space_group_name_H-M_alt 'R -3 m'
_space_group_IT_number 166
_space_group_name_Hall '-R 3 2"'
loop_
_atom_site_label
_atom_site_type_symbol
_atom_site_fract_x
_atom_site_fract_y
_atom_site_fract_z
_atom_site_occupancy
Y1 Y 0.0000 0.0000 0.0000 1
Sc1 Sc 0.0000 0.0000 0.0966 1
Ag1 Ag 0.0000 0.0000 0.5000 1
```

The total energy comes out at -5.2685 eV per atom. As for the total moment: 0.22 μB per formula unit. Its energy above the most stable polymorph in this dataset is 341 meV per atom. As for the calculated formation energy: 226.1 meV per atom. The mass density comes out at 4.74 g cm⁻³. The value obtained for the calculated volume is 25.11 Å³ per atom.


[5]
The following is a DFT calculation (PBE) of an optimized crystal structure of RbNa2BrCl2.

Structure (CIF):
```
data_RbNa2BrCl2
_cell_length_a 4.253
_cell_length_b 6.968
_cell_length_c 11.861
_cell_angle_alpha 90.00
_cell_angle_beta 90.00
_cell_angle_gamma 90.00
_space_group_name_H-M_alt 'P m m n'
_space_group_IT_number 59
loop_
_space_group_symop_operation_xyz
'x,y,z'
'-x,-y,-z'
'-x+1/2,-y+1/2,z'
'x+1/2,y+1/2,-z'
'x+1/2,-y,-z'
'-x+1/2,y,z'
'-x,y+1/2,-z'
'x,-y+1/2,z'
loop_
_atom_site_label
_atom_site_type_symbol
_atom_site_fract_x
_atom_site_fract_y
_atom_site_fract_z
_atom_site_occupancy
Rb1 Rb 0.250 0.250 0.055 1
Na1 Na 0.250 0.504 0.345 1
Br1 Br 0.250 0.250 0.551 1
Cl1 Cl 0.250 0.750 0.145 1
Cl2 Cl 0.250 0.750 0.740 1
```

The total energy comes out at -3.1896 eV per atom. The formation energy from raw total energies is -10.166 eV per formula unit. As for the total moment: 0.00 μB per formula unit. The mass density comes out at 2.67 g cm⁻³. The value obtained for the calculated volume is 29.29 Å³ per atom.


[6]
The following is a DFT calculation (PBE) of an optimized crystal structure of Er12ZrSc2.

Structure (CIF):
```
data_Er12ZrSc2
_cell_length_a 7.063
_cell_length_b 10.943
_cell_length_c 22.995
_cell_angle_alpha 90.00
_cell_angle_beta 94.39
_cell_angle_gamma 90.00
_space_group_name_H-M_alt 'C 1 2/m 1'
_space_group_IT_number 12
loop_
_space_group_symop_operation_xyz
'x,y,z'
'-x,-y,-z'
'-x,y,-z'
'x,-y,z'
'x+1/2,y+1/2,z'
'-x+1/2,-y+1/2,-z'
'-x+1/2,y+1/2,-z'
'x+1/2,-y+1/2,z'
loop_
_atom_site_label
_atom_site_type_symbol
_atom_site_fract_x
_atom_site_fract_y
_atom_site_fract_z
_atom_site_occupancy
Er1 Er 0.016 0.245 0.064 1
Er2 Er 0.035 0.500 0.140 1
Er3 Er 0.037 0.000 0.147 1
Er4 Er 0.080 0.249 0.319 1
Er5 Er 0.105 0.000 0.418 1
Er6 Er 0.105 0.500 0.417 1
Er7 Er 0.139 0.250 0.558 1
Er8 Er 0.202 0.250 0.808 1
Zr1 Zr 0.217 0.500 0.000 1
Sc1 Sc 0.177 0.500 0.719 1
Sc2 Sc 0.182 0.000 0.719 1
```

The total energy comes out at -4.9383 eV per atom. As for the total moment: 0.00 μB per formula unit. As for the calculated formation energy: 126.1 meV per atom. The mass density comes out at 8.20 g cm⁻³. The value obtained for the calculated volume is 29.54 Å³ per atom.


[7]
The following is a DFT calculation (PBE) of an optimized crystal structure of Sr2Ce2Pd15.

Structure (CIF):
```
data_Sr2Ce2Pd15
_cell_length_a 9.3781
_cell_length_b 9.3781
_cell_length_c 14.1963
_cell_angle_alpha 90.00
_cell_angle_beta 90.00
_cell_angle_gamma 120.00
_space_group_name_H-M_alt 'R -3 m'
_space_group_IT_number 166
_space_group_name_Hall '-R 3 2"'
loop_
_atom_site_label
_atom_site_type_symbol
_atom_site_fract_x
_atom_site_fract_y
_atom_site_fract_z
_atom_site_occupancy
Sr1 Sr 0.0000 0.0000 0.1386 1
Ce1 Ce 0.0000 0.0000 0.3934 1
Pd1 Pd 0.0000 0.3011 0.5000 1
Pd2 Pd 0.0000 0.5000 0.0000 1
Pd3 Pd 0.0001 0.5001 0.3457 1
```

The total energy comes out at -5.3998 eV per atom. As for the total moment: 0.81 μB per formula unit. As for the calculated formation energy: -498.5 meV per atom. The mass density comes out at 9.45 g cm⁻³. The value obtained for the calculated volume is 18.97 Å³ per atom.


[8]
The following is a DFT calculation (PBE) of an optimized crystal structure of HgSb2Pb2.

Structure (CIF):
```
data_HgSb2Pb2
_cell_length_a 6.602
_cell_length_b 4.766
_cell_length_c 10.758
_cell_angle_alpha 90.00
_cell_angle_beta 97.74
_cell_angle_gamma 90.00
_space_group_name_H-M_alt 'P 1 21/m 1'
_space_group_IT_number 11
loop_
_space_group_symop_operation_xyz
'x,y,z'
'-x,-y,-z'
'-x,y+1/2,-z'
'x,-y+1/2,z'
loop_
_atom_site_label
_atom_site_type_symbol
_atom_site_fract_x
_atom_site_fract_y
_atom_site_fract_z
_atom_site_occupancy
Hg1 Hg 0.198 0.250 0.031 1
Sb1 Sb 0.208 0.750 0.182 1
Sb2 Sb 0.214 0.750 0.593 1
Pb1 Pb 0.271 0.250 0.394 1
Pb2 Pb 0.321 0.250 0.770 1
```

The total energy comes out at -3.1209 eV per atom. The formation energy from raw total energies is 0.359 eV per formula unit. As for the total moment: 0.00 μB per formula unit. Its energy above the most stable polymorph in this dataset is 8 meV per atom. The mass density comes out at 8.50 g cm⁻³. The value obtained for the calculated volume is 33.54 Å³ per atom.


[9]
The following is a DFT calculation (PBE) of an optimized crystal structure of Er4AlSb.

Structure (CIF):
```
data_Er4AlSb
_cell_length_a 10.033
_cell_length_b 10.042
_cell_length_c 14.154
_cell_angle_alpha 90.00
_cell_angle_beta 90.00
_cell_angle_gamma 90.00
_space_group_name_H-M_alt 'F d d d'
_space_group_IT_number 70
loop_
_space_group_symop_operation_xyz
'x,y,z'
'-x,-y,-z'
'-x+1/4,-y+1/4,z'
'x+1/4,y+1/4,-z'
'x,-y+1/4,-z+1/4'
'-x,y+1/4,z+1/4'
'-x+1/4,y,-z+1/4'
'x+1/4,-y,z+1/4'
'x,y+1/2,z+1/2'
'-x,-y+1/2,-z+1/2'
'-x+1/4,-y+3/4,z+1/2'
'x+1/4,y+3/4,-z+1/2'
'x,-y+3/4,-z+3/4'
'-x,y+3/4,z+3/4'
'-x+1/4,y+1/2,-z+3/4'
'x+1/4,-y+1/2,z+3/4'
'x+1/2,y,z+1/2'
'-x+1/2,-y,-z+1/2'
'-x+3/4,-y+1/4,z+1/2'
'x+3/4,y+1/4,-z+1/2'
'x+1/2,-y+1/4,-z+3/4'
'-x+1/2,y+1/4,z+3/4'
'-x+3/4,y,-z+3/4'
'x+3/4,-y,z+3/4'
'x+1/2,y+1/2,z'
'-x+1/2,-y+1/2,-z'
'-x+3/4,-y+3/4,z'
'x+3/4,y+3/4,-z'
'x+1/2,-y+3/4,-z+1/4'
'-x+1/2,y+3/4,z+1/4'
'-x+3/4,y+1/2,-z+1/4'
'x+3/4,-y+1/2,z+1/4'
loop_
_atom_site_label
_atom_site_type_symbol
_atom_site_fract_x
_atom_site_fract_y
_atom_site_fract_z
_atom_site_occupancy
Er1 Er 0.119 0.369 0.250 1
Al1 Al 0.125 0.125 0.125 1
Sb1 Sb 0.125 0.125 0.625 1
```

The total energy comes out at -4.6541 eV per atom. The formation energy from raw total energies is -1.809 eV per formula unit. As for the total moment: 0.00 μB per formula unit. The mass density comes out at 7.62 g cm⁻³. The value obtained for the calculated volume is 29.71 Å³ per atom.


[10]
The following is a DFT calculation (PBE) of an optimized crystal structure of Rb3Mg5.

Structure (CIF):
```
data_Rb3Mg5
_cell_length_a 21.771
_cell_length_b 12.526
_cell_length_c 5.639
_cell_angle_alpha 90.00
_cell_angle_beta 90.00
_cell_angle_gamma 90.00
_space_group_name_H-M_alt 'C m c m'
_space_group_IT_number 63
_space_group_name_Hall '-C 2c 2'
loop_
_atom_site_label
_atom_site_type_symbol
_atom_site_fract_x
_atom_site_fract_y
_atom_site_fract_z
_atom_site_occupancy
Rb1 Rb 0.000 0.135 0.250 1
Rb2 Rb 0.182 0.318 0.750 1
Mg1 Mg 0.000 0.358 0.750 1
Mg2 Mg 0.071 0.429 0.250 1
Mg3 Mg 0.167 0.000 0.000 1
```

The total energy comes out at -1.0778 eV per atom. As for the total moment: 0.00 μB per formula unit. Its energy above the most stable polymorph in this dataset is 17 meV per atom. As for the calculated formation energy: 281.6 meV per atom. The mass density comes out at 1.63 g cm⁻³. The value obtained for the calculated volume is 48.05 Å³ per atom.